Arrangement P

## La4Re (PBEsol)

Data for a geometry-optimized La4Re structure.

The structure in extended XYZ format:
```
5
Lattice="-1.9436 1.9436 10.1451 1.9436 -1.9436 10.1451 1.9436 1.9436 -10.1451" Properties=species:S:1:pos:R:3 pbc="T T T"
La 0.0000 0.0000 1.5812
La 1.9436 0.0000 5.0726
La 0.0000 1.9436 5.0726
La 0.0000 0.0000 18.7090
Re 0.0000 0.0000 10.1451
```

Results
- density of states at the Fermi level (states/eV/cell) = 6.39
- calculated volume (Å³ per cell) = 153


Arrangement Q

## La4Re (PBEsol)

Data for a geometry-optimized La4Re structure.

The structure in extended XYZ format:
```
5
Lattice="2.7457 1.5852 5.5422 -2.7457 1.5852 5.5422 0.0000 -3.1704 5.5422" Properties=species:S:1:pos:R:3 pbc="T T T"
La 0.0000 0.0000 1.9515
La 0.0000 0.0000 5.6272
La 0.0000 0.0000 10.9994
La 0.0000 0.0000 14.6751
Re 0.0000 0.0000 8.3133
```

Results
- density of states at the Fermi level (states/eV/cell) = 6.95
- calculated volume (Å³ per cell) = 145


Tell me which of them is the most stable. Sure, it is arrangement Q.


Arrangement P

## LaRe3 (PBEsol)

Data for a geometry-optimized LaRe3 structure.

The structure in extended XYZ format:
```
4
Lattice="-1.4663 4.7336 2.5386 1.4663 -4.7336 2.5386 1.4663 4.7336 -2.5386" Properties=species:S:1:pos:R:3 pbc="T T T"
La 0.0000 0.0000 0.0000
Re 1.4663 2.6396 -0.4542
Re 0.0000 4.7336 0.0961
Re 0.0000 2.0940 2.0844
```

Results
- density of states at the Fermi level (states/eV/cell) = 3.89
- calculated volume (Å³ per cell) = 70


Arrangement Q

## LaRe3 (PBEsol)

Data for a geometry-optimized LaRe3 structure.

The structure in extended XYZ format:
```
4
Lattice="4.7847 0.0000 0.0000 0.0000 4.7847 0.0000 0.0000 0.0000 4.7847" Properties=species:S:1:pos:R:3 pbc="T T T"
La 0.0000 0.0000 0.0000
Re 0.0000 0.0000 2.3924
Re 0.0000 2.3924 0.0000
Re 2.3924 0.0000 0.0000
```

Results
- density of states at the Fermi level (states/eV/cell) = 7.80
- calculated volume (Å³ per cell) = 110


Tell me which of them is the most stable. Sure, it is arrangement P.


Arrangement P

## LaRe3 (PBEsol)

Data for a geometry-optimized LaRe3 structure.

The structure in extended XYZ format:
```
4
Lattice="1.4114 0.8149 9.9853 -1.4114 0.8149 9.9853 0.0000 -1.6298 9.9853" Properties=species:S:1:pos:R:3 pbc="T T T"
La 0.0000 0.0000 0.0000
Re 0.0000 0.0000 7.1389
Re 0.0000 0.0000 14.9780
Re 0.0000 0.0000 22.8170
```

Results
- density of states at the Fermi level (states/eV/cell) = 4.14
- calculated volume (Å³ per cell) = 69


Arrangement Q

## LaRe3 (PBEsol)

Data for a geometry-optimized LaRe3 structure.

The structure in extended XYZ format:
```
4
Lattice="3.0572 0.0000 0.0000 0.0000 3.0572 0.0000 0.0000 0.0000 7.7297" Properties=species:S:1:pos:R:3 pbc="T T T"
La 0.0000 0.0000 0.0000
Re 0.0000 0.0000 3.8649
Re 1.5286 1.5286 2.3559
Re 1.5286 1.5286 5.3738
```

Results
- density of states at the Fermi level (states/eV/cell) = 5.52
- calculated volume (Å³ per cell) = 72


Tell me which of them is the most stable. Sure, it is arrangement Q.